Pu2SnBi: relaxed, PBE.

```
Pu2SnBi
1.0
3.2209 0.0000 0.0000
0.0000 5.8518 0.0000
0.0000 0.0000 5.8518
Pu Sn Bi
2 1 1
Cartesian
0.0000 0.0000 2.9259 Pu
0.0000 2.9259 0.0000 Pu
1.6104 2.9259 2.9259 Sn
1.6104 0.0000 0.0000 Bi
```

Properties
The calculation puts the calculated total energy at -9.4811 eV per atom. The calculation puts the formation energy at -0.34 eV per atom. Its total magnetic moment is 11.38 μB/f.u. As for the density of states at the Fermi level: 18.2 states/eV per cell.

Be4Re: relaxed, PBE.

```
Be4Re
1.0
4.2095 0.0000 0.0000
0.0000 4.2095 0.0000
0.0000 0.0000 4.2095
Re Be
1 4
Cartesian
2.1048 2.1048 2.1048 Re
0.0000 0.0000 0.0000 Be
2.1048 0.0000 2.1048 Be
0.0000 2.1048 2.1048 Be
2.1048 2.1048 0.0000 Be
```

Properties
The calculation puts the calculated total energy at -4.0640 eV per atom. The calculation puts the formation energy at 1.41 eV per atom. Its total magnetic moment is 0.00 μB/f.u. As for the density of states at the Fermi level: 2.4 states/eV per cell.

Tl2CrCu2S4: relaxed, PBE.

```
Tl2CrCu2S4
1.0
-1.9986 -1.8677 2.4843
5.0073 1.6756 5.2881
-3.8297 5.8911 -1.4003
Tl Cr Cu S
2 1 2 4
Cartesian
1.4930 2.2557 2.8969 Tl
-2.3140 3.4433 3.4751 Tl
0.0000 0.0000 0.0000 Cr
2.1605 2.5205 6.3812 Cu
-2.9815 3.1785 -0.0091 Cu
-0.9660 2.1398 0.8315 S
0.1450 3.5592 5.5406 S
2.8219 0.5426 5.4263 S
-3.6429 5.1564 0.9458 S
```

Properties
The calculation puts the calculated total energy at -4.7163 eV per atom. Its total magnetic moment is 2.47 μB/f.u. As for the density of states at the Fermi level: 5.3 states/eV per cell. The value obtained for the formation energy from raw total energies is -8.68 kcal/mol of atoms.

TlPd3W: relaxed, PBE.

```
TlPd3W
1.0
-0.3480 4.6290 1.5566
-3.6724 -1.2767 2.9757
3.2193 -0.9561 3.5628
Tl Pd W
1 3 1
Cartesian
-0.4006 1.1980 4.0476 Tl
-1.8362 -0.6384 1.4878 Pd
1.6096 -0.4781 1.7814 Pd
-0.1740 2.3145 0.7783 Pd
0.0000 0.0000 0.0000 W
```

Properties
The calculation puts the calculated total energy at -5.2220 eV per atom. The calculation puts the formation energy at 0.96 eV per atom. Its total magnetic moment is 0.00 μB/f.u. As for the density of states at the Fermi level: 5.0 states/eV per cell.

Volume readings, ordered: 27.57 14.92 20.10 23.47 Å³ per atom